## CeDyBr (PBE)

Data for a geometry-optimized CeDyBr structure.

Lattice parameters (Å, degrees): 3.6499 3.6499 7.6192 90.00 90.00 120.00
Last column: nearest neighbours and their distance in Å.
Fractional coordinates of all 3 atoms:
Ce 0.0000 0.0000 0.0000  3 Br 3.32, 3 Dy 3.52, 6 Ce 3.65
Dy 0.6667 0.3333 0.3694  3 Br 3.08
Br 0.3333 0.6667 0.6639  3 Dy 3.08, 3 Ce 3.32

Output
Uncorrected formation energy in kcal/mol of atoms: -14.77
SG: P3m1, No. 156
Total magnetization in μB per atom: 0.499